{"formula": "Tb3In2Ga", "functional": "PBE", "state": "relaxed", "de_polymorph_ev_per_fu": 0.02, "lattice_angstrom": [[3.672, 0.000, 0.000], [0.000, 5.288, 0.000], [0.000, 0.000, 15.817]], "species": ["In", "Tb", "Tb", "Tb", "Tb", "In", "Tb", "Ga", "Ga", "Tb", "In", "In"], "fractional_positions": [[0.000, 0.500, 0.828], [0.500, 0.500, 0.343], [0.500, 0.000, 0.843], [0.500, 0.500, 0.657], [0.500, 0.000, 0.157], [0.000, 0.000, 0.672], [0.501, 0.500, 0.000], [0.999, 0.500, 0.500], [0.001, 0.000, 0.000], [0.499, 0.000, 0.500], [0.000, 0.500, 0.172], [0.000, 0.000, 0.328]]}


{"formula": "Tb12In6Ga", "functional": "PBE", "state": "relaxed", "total_energy_ev_per_atom": -3.990, "lattice_angstrom": [[8.824, -0.092, -0.110], [-1.429, 8.708, -0.110], [-1.429, -1.664, 8.549]], "species": ["Tb", "Tb", "Ga", "Tb", "Tb", "Tb", "In", "Tb", "Tb", "In", "Tb", "In", "In", "In", "Tb", "Tb", "In", "Tb", "Tb"], "fractional_positions": [[0.320, 0.060, 0.960], [0.181, 0.429, 0.566], [0.000, 0.000, 0.000], [0.960, 0.320, 0.060], [0.434, 0.819, 0.571], [0.060, 0.960, 0.320], [0.303, 0.135, 0.623], [0.819, 0.571, 0.434], [0.429, 0.566, 0.181], [0.623, 0.303, 0.135], [0.680, 0.940, 0.040], [0.377, 0.697, 0.865], [0.865, 0.377, 0.697], [0.135, 0.623, 0.303], [0.566, 0.181, 0.429], [0.940, 0.040, 0.680], [0.697, 0.865, 0.377], [0.040, 0.680, 0.940], [0.571, 0.434, 0.819]]}


{"formula": "TbInGa2", "functional": "PBE", "state": "relaxed", "de_polymorph_ev_per_fu": 0.81, "lattice_angstrom": [[3.682, 0.000, 0.000], [0.000, 3.682, 0.000], [0.000, 0.000, 6.654]], "species": ["In", "Ga", "Tb", "Ga"], "fractional_positions": [[0.500, 0.500, 0.000], [0.000, 0.000, 0.776], [0.500, 0.500, 0.500], [0.000, 0.000, 0.224]]}


{"formula": "Tb12In5Ga2", "functional": "PBE", "state": "relaxed", "total_energy_ev_per_atom": -4.235, "lattice_angstrom": [[10.530, 0.000, 0.000], [-5.265, 6.390, 1.466], [0.000, -0.589, 7.830]], "species": ["Tb", "Tb", "Tb", "In", "Tb", "Ga", "In", "Tb", "In", "Tb", "Tb", "Ga", "Tb", "Tb", "Tb", "In", "Tb", "Tb", "In"], "fractional_positions": [[0.655, 0.704, 0.822], [0.614, 0.771, 0.372], [0.050, 0.704, 0.822], [0.328, 0.655, 0.087], [0.876, 0.752, 0.154], [0.329, 0.000, 0.000], [0.000, 0.000, 0.500], [0.422, 0.843, 0.702], [0.672, 0.345, 0.913], [0.386, 0.229, 0.628], [0.345, 0.296, 0.178], [0.671, 0.000, 0.000], [0.124, 0.248, 0.846], [0.578, 0.157, 0.298], [0.156, 0.771, 0.372], [0.766, 0.531, 0.536], [0.844, 0.229, 0.628], [0.950, 0.296, 0.178], [0.234, 0.469, 0.464]]}


Please write out number 3 again, unchanged.
{"formula": "TbInGa2", "functional": "PBE", "state": "relaxed", "de_polymorph_ev_per_fu": 0.81, "lattice_angstrom": [[3.682, 0.000, 0.000], [0.000, 3.682, 0.000], [0.000, 0.000, 6.654]], "species": ["In", "Ga", "Tb", "Ga"], "fractional_positions": [[0.500, 0.500, 0.000], [0.000, 0.000, 0.776], [0.500, 0.500, 0.500], [0.000, 0.000, 0.224]]}